[1]
Here is a relaxed DyPu2Zn crystal from the Alexandria database. Energies are from PBE.

Summary:
Mass density ... 11.9 Mg/m³
Crystal system ... cubic
Energy relative to the elements ... 93 kJ/mol of formula units
Energy ... -8.393 eV/atom
DOS at the Fermi energy ... 3.263 states/eV per atom
Excess energy over the best structure of this formula in the dataset ... 3.216 kcal/mol of atoms

```
DyPu2Zn
1.0
5.206 0.000 0.000
2.603 4.509 0.000
2.603 1.503 4.252
Pu Zn Dy
2 1 1
direct
0.250 0.250 0.250 Pu
0.750 0.750 0.750 Pu
0.000 0.000 0.000 Zn
0.500 0.500 0.500 Dy
```

[2]
Here is a relaxed LaCe2Ge crystal from the Alexandria database. Energies are from PBE.

Summary:
Mass density ... 6.4 Mg/m³
Crystal system ... trigonal
Energy relative to the elements ... -8 kJ/mol of formula units
Energy ... -5.374 eV/atom
DOS at the Fermi energy ... 2.385 states/eV per atom
Excess energy over the best structure of this formula in the dataset ... 10.239 kcal/mol of atoms

```
LaCe2Ge
1.0
-3.103 2.131 0.674
-2.147 1.229 -2.917
-7.356 -7.234 -0.141
La Ge Ce
1 1 2
direct
0.000 0.000 0.000 La
0.500 0.500 0.500 Ge
0.895 0.895 0.316 Ce
0.105 0.105 0.684 Ce
```

[3]
Here is a relaxed UAl2Au3 crystal from the Alexandria database. Energies are from PBE.

Summary:
Mass density ... 12.3 Mg/m³
Crystal system ... orthorhombic
Energy relative to the elements ... -105 kJ/mol of formula units
Energy ... -4.950 eV/atom
DOS at the Fermi energy ... 1.213 states/eV per atom

```
UAl2Au3
1.0
-5.028 1.391 -2.553
0.077 -4.907 -2.826
-1.143 -1.409 8.091
Au U Al
6 2 4
direct
0.196 0.946 0.392 Au
0.804 0.554 0.608 Au
0.804 0.054 0.608 Au
0.196 0.446 0.392 Au
0.500 0.750 0.000 Au
0.500 0.250 0.000 Au
0.000 0.000 0.000 U
0.000 0.500 0.000 U
0.454 0.345 0.690 Al
0.546 0.655 0.310 Al
0.764 0.155 0.310 Al
0.236 0.845 0.690 Al
```

[4]
Here is a relaxed FeSb crystal from the Alexandria database. Energies are from PBE.

Summary:
Mass density ... 8.4 Mg/m³
Formation energy without anion corrections ... 20 meV/atom
Crystal system ... hexagonal
Energy ... -6.273 eV/atom
DOS at the Fermi energy ... 1.019 states/eV per atom

```
FeSb
1.0
-2.121 1.266 3.171
1.974 -3.497 0.168
4.048 2.369 1.761
Fe Sb
2 2
direct
0.000 0.000 0.500 Fe
0.000 0.000 0.000 Fe
0.667 0.333 0.250 Sb
0.333 0.667 0.750 Sb
```